A plane-wave DFT calculation with PBE with a Hubbard U was carried out for a relaxed structure of TaMn2Pb3O9.

It has space group P-3m1 (No. 164), with a = 5.6445 Å, b = 5.6445 Å, c = 6.9305 Å, α = 90.00°, β = 90.00° and γ = 120.00°. The asymmetric unit holds Ta at (0.0000, 0.0000, 0.0000), Mn at (0.3333, 0.6667, 0.6682), Pb at (0.0000, 0.0000, 0.5000), Pb at (0.3333, 0.6667, 0.1992), O at (0.0000, 0.5000, 0.5000) and O at (0.1657, 0.3314, 0.8312).

For the calculated total energy, the calculation gives -106.963 eV for the cell shown. The density of states at the Fermi level is 0.17 states/eV/atom.